Below is an optimized crystal structure of LaTb2Ho3Te6, with properties calculated at the PBE level.

## Properties
The symmetry is C2/m, No. 12. The calculation puts the uncorrected formation energy at -1.324 eV/atom.

The structure in POSCAR format:
```
LaTb2Ho3Te6
1.0
9.5811 -2.1827 0.0000
9.5811 2.1827 0.0000
-2.0953 0.0000 8.5837
La Tb Ho Te
1 2 3 6
Cartesian
0.0000 0.0000 0.0000
5.0054 0.0000 5.7408
12.0614 0.0000 2.8429
-1.0477 0.0000 4.2918
6.1181 0.0000 1.4444
10.9487 0.0000 7.1393
1.9681 0.0000 5.0219
3.1409 0.0000 0.7206
8.0190 0.0000 6.3262
9.0478 0.0000 2.2574
13.9260 0.0000 7.8631
15.0987 0.0000 3.5618
```

Below is an optimized crystal structure of La4Tb3HoTe8, with properties calculated at the PBE level.

## Properties
The symmetry is R-3m, No. 166. The calculation puts the uncorrected formation energy at -1.448 eV/atom.

The structure in POSCAR format:
```
La4Tb3HoTe8
1.0
4.4502 2.5693 7.3784
-4.4502 2.5693 7.3784
0.0000 -5.1386 7.3784
La Tb Ho Te
4 3 1 8
Cartesian
0.0000 0.0000 0.0000
-2.2251 -1.2847 7.3784
-2.2251 1.2847 14.7568
0.0000 2.5693 7.3784
-4.4502 0.0000 11.0676
-2.2251 1.2847 3.6892
2.2251 1.2847 3.6892
0.0000 0.0000 11.0676
0.0000 0.0000 5.4194
-2.2145 -1.2786 12.7894
0.0000 -2.5571 9.3458
-2.2145 1.2785 9.3458
2.2145 -1.2785 12.7894
0.0000 2.5571 12.7894
2.2145 1.2785 9.3458
0.0000 0.0000 16.7157
```

Below is an optimized crystal structure of LaTb5HoTh2, with properties calculated at the PBE level.

## Properties
The symmetry is I4/mcm, No. 140. The calculation puts the formation energy at 32 kJ per mole of atoms.

The structure in POSCAR format:
```
LaTb5HoTh2
1.0
-4.4659 4.4659 7.6431
4.4659 -4.4659 7.6431
4.4659 4.4659 -7.6431
La Tb Ho Th
2 10 2 4
Cartesian
0.0000 0.0000 3.8215
0.0000 0.0000 11.4646
0.0000 0.0000 0.0000
6.3136 1.8477 -2.0787
1.8477 2.6182 -2.0787
6.3136 1.8477 2.0787
1.8477 2.6182 2.0787
0.0000 0.0000 7.6431
2.6182 1.8477 5.5644
-1.8477 2.6182 5.5644
2.6182 1.8477 9.7218
-1.8477 2.6182 9.7218
4.4659 0.0000 3.8215
0.0000 4.4659 3.8215
3.4042 1.0616 0.0000
3.4042 -1.0616 7.6431
1.0616 5.5275 0.0000
1.0616 3.4042 7.6431
```

Number 1: ρ 7.9 Mg/m³, total moment 0.00 μB/cell. Number 2: ρ 7.3 Mg/m³, total moment 0.00 μB/cell. Number 3: ρ 8.5 Mg/m³, total moment 0.00 μB/cell.